Entry 1:
# PBE-GGA LaTlW2, optimized geometry
# - M_tot: 0.00 μB per atom
# - ΔE to the lowest computed polymorph: 2.06 eV/f.u.
# - DFT formation energy: 0.85 eV/atom
# - Volume: 24.03 Å³/atom
data_LaTlW2
_chemical_formula_sum 'La1 Tl1 W2'
_cell_length_a 5.215
_cell_length_b 3.277
_cell_length_c 5.624
_cell_angle_alpha 89.87
_cell_angle_beta 90.00
_cell_angle_gamma 90.00
_space_group_name_H-M_alt 'P 1'
_space_group_IT_number 1
_space_group_name_Hall 'P 1'
loop_
_atom_site_label
_atom_site_type_symbol
_atom_site_fract_x
_atom_site_fract_y
_atom_site_fract_z
_atom_site_occupancy
La1 La 0.500 0.250 0.250 1
Tl1 Tl 0.500 0.750 0.750 1
W1 W 0.000 0.974 0.076 1
W2 W 0.000 0.526 0.424 1


Entry 2:
# PBE-GGA Pu2UAu6, optimized geometry
# - M_tot: 1.62 μB per atom
# - DFT formation energy: -0.41 eV/atom
# - Volume: 21.18 Å³/atom
data_Pu2UAu6
_chemical_formula_sum 'Pu2 U1 Au6'
_cell_length_a 5.775
_cell_length_b 5.777
_cell_length_c 5.777
_cell_angle_alpha 94.78
_cell_angle_beta 94.72
_cell_angle_gamma 94.72
_space_group_name_H-M_alt 'P 1'
_space_group_IT_number 1
_space_group_name_Hall 'P 1'
loop_
_atom_site_label
_atom_site_type_symbol
_atom_site_fract_x
_atom_site_fract_y
_atom_site_fract_z
_atom_site_occupancy
Pu1 Pu 0.672 0.672 0.672 1
Pu2 Pu 0.328 0.328 0.328 1
U1 U 0.000 0.000 0.000 1
Au1 Au 0.167 0.500 0.833 1
Au2 Au 0.833 0.167 0.500 1
Au3 Au 0.833 0.500 0.167 1
Au4 Au 0.500 0.167 0.833 1
Au5 Au 0.167 0.833 0.500 1
Au6 Au 0.500 0.833 0.167 1


Entry 3:
# PBE-GGA Ca2AsH4F13, optimized geometry
# - M_tot: 0.01 μB per atom
# - DFT total energy: -4.797 eV/atom
# - Volume: 11.82 Å³/atom
data_Ca2AsH4F13
_chemical_formula_sum 'Ca8 As4 H16 F52'
_cell_length_a 7.295
_cell_length_b 7.295
_cell_length_c 17.768
_cell_angle_alpha 90.00
_cell_angle_beta 90.00
_cell_angle_gamma 90.00
_space_group_name_H-M_alt 'P 1'
_space_group_IT_number 1
_space_group_name_Hall 'P 1'
loop_
_atom_site_label
_atom_site_type_symbol
_atom_site_fract_x
_atom_site_fract_y
_atom_site_fract_z
_atom_site_occupancy
As1 As 0.000 0.214 0.000 1
As2 As 0.000 0.786 0.500 1
As3 As 0.786 0.000 0.750 1
As4 As 0.214 0.000 0.250 1
Ca1 Ca 0.741 0.722 0.963 1
Ca2 Ca 0.259 0.278 0.463 1
Ca3 Ca 0.278 0.741 0.713 1
Ca4 Ca 0.722 0.259 0.213 1
Ca5 Ca 0.259 0.722 0.037 1
Ca6 Ca 0.741 0.278 0.537 1
Ca7 Ca 0.722 0.741 0.287 1
Ca8 Ca 0.278 0.259 0.787 1
F1 F 0.833 0.384 0.983 1
F2 F 0.167 0.616 0.483 1
F3 F 0.616 0.833 0.733 1
F4 F 0.384 0.167 0.233 1
F5 F 0.167 0.384 0.017 1
F6 F 0.833 0.616 0.517 1
F7 F 0.384 0.833 0.267 1
F8 F 0.616 0.167 0.767 1
F9 F 0.052 0.215 0.903 1
F10 F 0.948 0.785 0.403 1
F11 F 0.785 0.052 0.653 1
F12 F 0.215 0.948 0.153 1
F13 F 0.948 0.215 0.097 1
F14 F 0.052 0.785 0.597 1
F15 F 0.215 0.052 0.347 1
F16 F 0.785 0.948 0.847 1
F17 F 0.831 0.041 0.987 1
F18 F 0.169 0.959 0.487 1
F19 F 0.959 0.831 0.737 1
F20 F 0.041 0.169 0.237 1
F21 F 0.169 0.041 0.013 1
F22 F 0.831 0.959 0.513 1
F23 F 0.041 0.831 0.263 1
F24 F 0.959 0.169 0.763 1
F25 F 0.705 0.565 0.851 1
F26 F 0.295 0.435 0.351 1
F27 F 0.435 0.705 0.601 1
F28 F 0.565 0.295 0.101 1
F29 F 0.295 0.565 0.149 1
F30 F 0.705 0.435 0.649 1
F31 F 0.565 0.705 0.399 1
F32 F 0.435 0.295 0.899 1
F33 F 0.500 0.508 0.000 1
F34 F 0.500 0.492 0.500 1
F35 F 0.492 0.500 0.750 1
F36 F 0.508 0.500 0.250 1
F37 F 0.438 0.830 0.929 1
F38 F 0.562 0.170 0.429 1
F39 F 0.170 0.438 0.679 1
F40 F 0.830 0.562 0.179 1
F41 F 0.562 0.830 0.071 1
F42 F 0.438 0.170 0.571 1
F43 F 0.830 0.438 0.321 1
F44 F 0.170 0.562 0.821 1
F45 F 0.057 0.697 0.929 1
F46 F 0.943 0.303 0.429 1
F47 F 0.303 0.057 0.679 1
F48 F 0.697 0.943 0.179 1
F49 F 0.943 0.697 0.071 1
F50 F 0.057 0.303 0.571 1
F51 F 0.697 0.057 0.321 1
F52 F 0.303 0.943 0.821 1
H1 H 0.615 0.538 0.809 1
H2 H 0.385 0.462 0.309 1
H3 H 0.462 0.615 0.559 1
H4 H 0.538 0.385 0.059 1
H5 H 0.385 0.538 0.191 1
H6 H 0.615 0.462 0.691 1
H7 H 0.538 0.615 0.441 1
H8 H 0.462 0.385 0.941 1
H9 H 0.376 0.887 0.878 1
H10 H 0.624 0.113 0.378 1
H11 H 0.113 0.376 0.628 1
H12 H 0.887 0.624 0.128 1
H13 H 0.624 0.887 0.122 1
H14 H 0.376 0.113 0.622 1
H15 H 0.887 0.376 0.372 1
H16 H 0.113 0.624 0.872 1


> The highest M_tot belongs to which entry?

Pu2UAu6